# CrAg2Se2O6 PBE with a Hubbard U relaxed
# Electronic total energy   -5.138 eV per atom
# Crystal system   monoclinic
data_CrAg2Se2O6
_chemical_formula_sum 'Cr2 Ag4 Se4 O12'
_cell_length_a 11.176
_cell_length_b 5.424
_cell_length_c 6.043
_cell_angle_alpha 90.00
_cell_angle_beta 122.19
_cell_angle_gamma 90.00
_symmetry_space_group_name_H-M 'C 1 2/m 1'
_symmetry_Int_Tables_number 12
_symmetry_space_group_name_Hall '-C 2y'
loop_
_atom_site_label
_atom_site_type_symbol
_atom_site_fract_x
_atom_site_fract_y
_atom_site_fract_z
Cr1 Cr 0.000 0.000 0.000
Ag1 Ag 0.223 0.000 0.719
Se1 Se 0.036 0.500 0.747
O1 O 0.079 0.260 0.293
O2 O 0.171 0.000 0.025